PBE-GGA Hg2ClF, relaxed; V = 97 Å³ per cell; symmetry = No. 107; calculated density = 7.80 Mg/m³; crystal system = tetragonal; total DFT energy (no corrections) = -1.91 eV per atom
1.0
-2.101 2.101 5.495
2.101 -2.101 5.495
2.101 2.101 -5.495
Hg Cl F
2 1 1
direct
0.000 0.000 0.000 Hg
0.235 0.235 0.000 Hg
0.459 0.459 0.000 Cl
0.804 0.804 0.000 F

PBE-GGA PmNiIr, relaxed; energy above the lowest structure with this stoichiometry = 0.00 eV/f.u.; V = 104 Å³ per cell; symmetry = No. 74; calculated density = 12.60 Mg/m³; crystal system = orthorhombic; formation enthalpy at 0 K = -56 kJ/mol of atoms; total DFT energy (no corrections) = -6.96 eV per atom
1.0
-2.592 2.716 3.706
2.592 -2.716 3.706
2.592 2.716 -3.706
Pm Ni Ir
2 2 2
direct
0.373 0.123 0.250 Pm
0.627 0.877 0.750 Pm
0.000 0.000 0.500 Ni
0.000 0.500 0.000 Ni
0.000 0.500 0.500 Ir
0.500 0.500 0.000 Ir

PBE-GGA TmHfAl4Pd2, relaxed; V = 141 Å³ per cell; symmetry = No. 38; calculated density = 7.85 Mg/m³; crystal system = orthorhombic; total DFT energy (no corrections) = -5.70 eV per atom
1.0
6.712 0.000 0.000
0.000 2.125 4.957
0.000 -2.125 4.957
Tm Hf Al Pd
1 1 4 2
direct
0.000 0.000 0.000 Tm
0.500 0.147 0.147 Hf
0.206 0.705 0.705 Al
0.305 0.438 0.438 Al
0.695 0.438 0.438 Al
0.794 0.705 0.705 Al
0.000 0.284 0.284 Pd
0.500 0.866 0.866 Pd

PBE-GGA Li2IrO2F, relaxed; V = 55 Å³ per cell; symmetry = No. 164; calculated density = 7.76 Mg/m³; crystal system = trigonal; total DFT energy (no corrections) = -5.69 eV per atom
1.0
3.066 0.000 0.000
-1.533 2.655 0.000
0.000 0.000 6.753
Li Ir O F
2 1 2 1
direct
0.333 0.667 0.158 Li
0.667 0.333 0.842 Li
0.000 0.000 0.500 Ir
0.333 0.667 0.660 O
0.667 0.333 0.340 O
0.000 0.000 0.000 F